{
  "formula": "Cs2CdICl3",
  "functional": "PBE-GGA",
  "state": "relaxed",
  "sg": "Immm (71)",
  "dft_energy_ev_per_atom": -2.852,
  "raw_formation_energy_ev_per_atom": -1.465,
  "lattice_angstrom": [[5.880, 0.000, 0.000], [0.000, 5.464, 0.000], [-2.940, -2.732, 8.694]],
  "species": ["Cs", "Cl", "Cl", "Cs", "Cl", "I", "Cd"],
  "frac_coords": [[0.350, 0.350, 0.701], [0.000, 0.500, 0.000], [0.152, 0.152, 0.305], [0.650, 0.650, 0.299], [0.848, 0.848, 0.695], [0.500, 0.000, 0.000], [0.000, 0.000, 0.000]]
}